The following is a DFT calculation (PBE+U) of a relaxed structure of Li3VF6.

Geometry as POSCAR:
```
Li3VF6
1.0
4.662 -2.719 0.000
4.662 2.719 0.000
-4.580 0.000 8.716
Li V F
6 2 12
Direct
0.080 0.080 0.329
0.256 0.256 0.720
0.413 0.413 0.167
0.587 0.587 0.833
0.744 0.744 0.280
0.920 0.920 0.671
0.000 0.000 0.000
0.500 0.500 0.500
0.166 0.671 0.336
0.175 0.676 0.830
0.207 0.207 0.002
0.294 0.294 0.511
0.324 0.825 0.170
0.329 0.834 0.664
0.671 0.166 0.336
0.676 0.175 0.830
0.706 0.706 0.489
0.793 0.793 0.998
0.825 0.324 0.170
0.834 0.329 0.664
```

Computed properties:
relative energy among the computed polymorphs = 21.2 meV/atom
V = 221 Å³/cell
crystal system = monoclinic
total energy = -5.361 eV/atom